Hf7In2Hg2: optimized geometry, GGA-PBE.

The space group is C2/m (No. 12) and the conventional cell measures 8.908, 10.444 and 5.905 Å, with angles of 90.00, 112.90 and 90.00 degrees. The inequivalent atoms are Hf at (0.000, 0.000, 0.000), Hf at (0.179, 0.244, 0.214), Hf at (0.188, 0.500, 0.487), In at (0.000, 0.142, 0.500) and Hg at (0.149, 0.500, 0.946).

For the formation enthalpy at 0 K, the calculation gives 187 meV/atom. The volume is 506.0 Å³/cell.

HfIn2Hg2: optimized geometry, GGA-PBE.

The space group is P4/mbm (No. 127) and the conventional cell measures 8.044, 8.044 and 3.655 Å, with angles of 90.00, 90.00 and 90.00 degrees. The inequivalent atoms are Hf at (0.000, 0.000, 0.000), In at (0.172, 0.328, 0.500) and Hg at (0.133, 0.633, 0.000).

For the formation enthalpy at 0 K, the calculation gives 194 meV/atom. The volume is 236.5 Å³/cell. The energy above the most stable polymorph in this dataset is 0.000 eV per atom.

Hf4In3Hg: optimized geometry, GGA-PBE.

The space group is Pmna (No. 53) and the conventional cell measures 8.816, 6.286 and 6.327 Å, with angles of 90.00, 90.00 and 90.00 degrees. The inequivalent atoms are Hf at (0.000, 0.000, 0.000), Hf at (0.000, 0.500, 0.000), Hf at (0.250, 0.249, 0.250), In at (0.000, 0.000, 0.500), In at (0.250, 0.252, 0.750) and Hg at (0.000, 0.500, 0.500).

For the formation enthalpy at 0 K, the calculation gives -67 meV/atom. The volume is 350.7 Å³/cell. The energy above the most stable polymorph in this dataset is 0.000 eV per atom.